# PBE La2OsSe, relaxed
# Crystal system: tetragonal
# Formation energy (no corrections) in eV per atom: -0.494
# DFT total energy in eV/atom: -6.637
data_La2OsSe
_cell_length_a 4.208
_cell_length_b 4.208
_cell_length_c 10.949
_cell_angle_alpha 90.00
_cell_angle_beta 90.00
_cell_angle_gamma 90.00
_symmetry_space_group_name_H-M 'I -4 m 2'
_symmetry_Int_Tables_number 119
_symmetry_space_group_name_Hall 'I -4 -2'
loop_
_atom_site_label
_atom_site_fract_x
_atom_site_fract_y
_atom_site_fract_z
La1 0.000 0.000 0.000
La2 0.000 0.500 0.250
Os1 0.000 0.500 0.750
Se1 0.000 0.000 0.500

***

# PBE LaOsSe, relaxed
# Crystal system: cubic
# Formation energy (no corrections) in eV per atom: 0.595
# DFT total energy in eV/atom: -5.952
data_LaOsSe
_cell_length_a 6.900
_cell_length_b 6.900
_cell_length_c 6.900
_cell_angle_alpha 90.00
_cell_angle_beta 90.00
_cell_angle_gamma 90.00
_symmetry_space_group_name_H-M 'F -4 3 m'
_symmetry_Int_Tables_number 216
_symmetry_space_group_name_Hall 'F -4 2 3'
loop_
_atom_site_label
_atom_site_fract_x
_atom_site_fract_y
_atom_site_fract_z
La1 0.000 0.000 0.000
Os1 0.250 0.250 0.750
Se1 0.250 0.250 0.250

***

# PBE LaOsSe, relaxed
# Crystal system: hexagonal
# Formation energy (no corrections) in eV per atom: -0.500
# DFT total energy in eV/atom: -7.047
data_LaOsSe
_cell_length_a 4.3254
_cell_length_b 4.3254
_cell_length_c 4.0969
_cell_angle_alpha 90.00
_cell_angle_beta 90.00
_cell_angle_gamma 120.00
_symmetry_space_group_name_H-M 'P -6 m 2'
_symmetry_Int_Tables_number 187
_symmetry_space_group_name_Hall 'P -6 2'
loop_
_atom_site_label
_atom_site_fract_x
_atom_site_fract_y
_atom_site_fract_z
La1 0.0000 0.0000 0.0000
Os1 0.6667 0.3333 0.5000
Se1 0.3333 0.6667 0.5000

***

# PBE LaOsSe, relaxed
# Crystal system: tetragonal
# Formation energy (no corrections) in eV per atom: -0.029
# DFT total energy in eV/atom: -6.577
data_LaOsSe
_cell_length_a 3.374
_cell_length_b 3.374
_cell_length_c 11.150
_cell_angle_alpha 90.00
_cell_angle_beta 90.00
_cell_angle_gamma 90.00
_symmetry_space_group_name_H-M 'I 4 m m'
_symmetry_Int_Tables_number 107
_symmetry_space_group_name_Hall 'I 4 -2'
loop_
_atom_site_label
_atom_site_fract_x
_atom_site_fract_y
_atom_site_fract_z
La1 0.000 0.000 0.000
Os1 0.000 0.000 0.312
Se1 0.000 0.000 0.713

***

# PBE La2ZrOsSe, relaxed
# Crystal system: tetragonal
# Formation energy (no corrections) in eV per atom: -0.199
# DFT total energy in eV/atom: -6.823
data_La2ZrOsSe
_cell_length_a 5.649
_cell_length_b 5.649
_cell_length_c 4.983
_cell_angle_alpha 90.00
_cell_angle_beta 90.00
_cell_angle_gamma 90.00
_symmetry_space_group_name_H-M 'P 4/m m m'
_symmetry_Int_Tables_number 123
_symmetry_space_group_name_Hall '-P 4 2'
loop_
_atom_site_label
_atom_site_fract_x
_atom_site_fract_y
_atom_site_fract_z
La1 0.000 0.500 0.000
Zr1 0.000 0.000 0.500
Os1 0.000 0.000 0.000
Se1 0.500 0.500 0.500

***

# PBE LaSi2Os, relaxed
# Crystal system: tetragonal
# Formation energy (no corrections) in eV per atom: 0.167
# DFT total energy in eV/atom: -6.583
data_LaSi2Os
_cell_length_a 4.144
_cell_length_b 4.144
_cell_length_c 4.354
_cell_angle_alpha 90.00
_cell_angle_beta 90.00
_cell_angle_gamma 90.00
_symmetry_space_group_name_H-M 'P 4/m m m'
_symmetry_Int_Tables_number 123
_symmetry_space_group_name_Hall '-P 4 2'
loop_
_atom_site_label
_atom_site_fract_x
_atom_site_fract_y
_atom_site_fract_z
La1 0.000 0.000 0.000
Si1 0.000 0.500 0.500
Os1 0.500 0.500 0.000

***

# PBE La3Si3Os, relaxed
# Crystal system: monoclinic
# Formation energy (no corrections) in eV per atom: -0.684
# DFT total energy in eV/atom: -6.724
data_La3Si3Os
_cell_length_a 11.416
_cell_length_b 4.370
_cell_length_c 14.249
_cell_angle_alpha 90.00
_cell_angle_beta 113.01
_cell_angle_gamma 90.00
_symmetry_space_group_name_H-M 'C 1 2/m 1'
_symmetry_Int_Tables_number 12
_symmetry_space_group_name_Hall '-C 2y'
loop_
_atom_site_label
_atom_site_fract_x
_atom_site_fract_y
_atom_site_fract_z
La1 0.017 0.000 0.374
La2 0.102 0.000 0.920
La3 0.249 0.500 0.772
Si1 0.066 0.500 0.243
Si2 0.102 0.500 0.075
Si3 0.154 0.500 0.545
Os1 0.242 0.500 0.416

***

# PBE LaSi2Os, relaxed
# Crystal system: monoclinic
# Formation energy (no corrections) in eV per atom: -0.263
# DFT total energy in eV/atom: -7.014
data_LaSi2Os
_cell_length_a 3.721
_cell_length_b 3.846
_cell_length_c 5.592
_cell_angle_alpha 90.00
_cell_angle_beta 92.17
_cell_angle_gamma 90.00
_symmetry_space_group_name_H-M 'P 1 m 1'
_symmetry_Int_Tables_number 6
_symmetry_space_group_name_Hall 'P -2y'
loop_
_atom_site_label
_atom_site_fract_x
_atom_site_fract_y
_atom_site_fract_z
La1 0.000 0.000 0.000
Si1 0.471 0.000 0.535
Si2 0.521 0.500 0.268
Os1 0.035 0.500 0.535

***

# PBE LaSi2Os, relaxed
# Crystal system: trigonal
# Formation energy (no corrections) in eV per atom: 0.050
# DFT total energy in eV/atom: -6.701
data_LaSi2Os
_cell_length_a 3.1725
_cell_length_b 3.1725
_cell_length_c 26.0835
_cell_angle_alpha 90.00
_cell_angle_beta 90.00
_cell_angle_gamma 120.00
_symmetry_space_group_name_H-M 'R -3 m'
_symmetry_Int_Tables_number 166
_symmetry_space_group_name_Hall '-R 3 2"'
loop_
_atom_site_label
_atom_site_fract_x
_atom_site_fract_y
_atom_site_fract_z
La1 0.0000 0.0000 0.0000
Si1 0.0000 0.0000 0.2321
Os1 0.0000 0.0000 0.5000

***

# PBE LaSi2Os, relaxed
# Crystal system: tetragonal
# Formation energy (no corrections) in eV per atom: -0.281
# DFT total energy in eV/atom: -7.031
data_LaSi2Os
_cell_length_a 3.088
_cell_length_b 3.088
_cell_length_c 7.338
_cell_angle_alpha 90.00
_cell_angle_beta 90.00
_cell_angle_gamma 90.00
_symmetry_space_group_name_H-M 'P 4/m m m'
_symmetry_Int_Tables_number 123
_symmetry_space_group_name_Hall '-P 4 2'
loop_
_atom_site_label
_atom_site_fract_x
_atom_site_fract_y
_atom_site_fract_z
La1 0.000 0.000 0.000
Si1 0.500 0.500 0.309
Os1 0.000 0.000 0.500

***

# PBE LaSi2Os, relaxed
# Crystal system: tetragonal
# Formation energy (no corrections) in eV per atom: -0.333
# DFT total energy in eV/atom: -7.084
data_LaSi2Os
_cell_length_a 4.851
_cell_length_b 4.851
_cell_length_c 15.759
_cell_angle_alpha 90.00
_cell_angle_beta 90.00
_cell_angle_gamma 90.00
_symmetry_space_group_name_H-M 'I 41/a m d'
_symmetry_Int_Tables_number 141
loop_
_symmetry_equiv_pos_as_xyz
'x,y,z'
'-x,-y,-z'
'-y+1/4,x+3/4,z+1/4'
'y+1/4,-x+3/4,-z+1/4'
'-x+1/2,-y,z+1/2'
'x+1/2,y,-z+1/2'
'y+1/4,-x+1/4,z+3/4'
'-y+1/4,x+1/4,-z+3/4'
'x,-y,-z'
'-x,y,z'
'-y+1/4,-x+1/4,-z+3/4'
'y+1/4,x+1/4,z+3/4'
'-x+1/2,y,-z+1/2'
'x+1/2,-y,z+1/2'
'y+1/4,x+3/4,-z+1/4'
'-y+1/4,-x+3/4,z+1/4'
'x+1/2,y+1/2,z+1/2'
'-x+1/2,-y+1/2,-z+1/2'
'-y+3/4,x+1/4,z+3/4'
'y+3/4,-x+1/4,-z+3/4'
'-x,-y+1/2,z'
'x,y+1/2,-z'
'y+3/4,-x+3/4,z+1/4'
'-y+3/4,x+3/4,-z+1/4'
'x+1/2,-y+1/2,-z+1/2'
'-x+1/2,y+1/2,z+1/2'
'-y+3/4,-x+3/4,-z+1/4'
'y+3/4,x+3/4,z+1/4'
'-x,y+1/2,-z'
'x,-y+1/2,z'
'y+3/4,x+1/4,-z+3/4'
'-y+3/4,-x+1/4,z+3/4'
loop_
_atom_site_label
_atom_site_fract_x
_atom_site_fract_y
_atom_site_fract_z
La1 0.000 0.250 0.375
Si1 0.000 0.000 0.000
Os1 0.000 0.250 0.875

***

# PBE LaSiOs4, relaxed
# Crystal system: cubic
# Formation energy (no corrections) in eV per atom: 0.448
# DFT total energy in eV/atom: -8.764
data_LaSiOs4
_cell_length_a 7.534
_cell_length_b 7.534
_cell_length_c 7.534
_cell_angle_alpha 90.00
_cell_angle_beta 90.00
_cell_angle_gamma 90.00
_symmetry_space_group_name_H-M 'F -4 3 m'
_symmetry_Int_Tables_number 216
_symmetry_space_group_name_Hall 'F -4 2 3'
loop_
_atom_site_label
_atom_site_fract_x
_atom_site_fract_y
_atom_site_fract_z
La1 0.000 0.000 0.000
Si1 0.250 0.250 0.250
Os1 0.124 0.124 0.624

***

# PBE LaSi2Os, relaxed
# Crystal system: cubic
# Formation energy (no corrections) in eV per atom: -0.057
# DFT total energy in eV/atom: -6.808
data_LaSi2Os
_cell_length_a 6.584
_cell_length_b 6.584
_cell_length_c 6.584
_cell_angle_alpha 90.00
_cell_angle_beta 90.00
_cell_angle_gamma 90.00
_symmetry_space_group_name_H-M 'F m -3 m'
_symmetry_Int_Tables_number 225
_symmetry_space_group_name_Hall '-F 4 2 3'
loop_
_atom_site_label
_atom_site_fract_x
_atom_site_fract_y
_atom_site_fract_z
La1 0.000 0.000 0.000
Si1 0.250 0.250 0.250
Os1 0.000 0.000 0.500

***

# PBE LaSi2Os, relaxed
# Crystal system: monoclinic
# Formation energy (no corrections) in eV per atom: -0.526
# DFT total energy in eV/atom: -7.277
data_LaSi2Os
_cell_length_a 7.399
_cell_length_b 4.062
_cell_length_c 6.015
_cell_angle_alpha 90.00
_cell_angle_beta 115.33
_cell_angle_gamma 90.00
_symmetry_space_group_name_H-M 'C 1 m 1'
_symmetry_Int_Tables_number 8
_symmetry_space_group_name_Hall 'C -2y'
loop_
_atom_site_label
_atom_site_fract_x
_atom_site_fract_y
_atom_site_fract_z
La1 0.000 0.000 0.000
Si1 0.183 0.000 0.591
Si2 0.452 0.000 0.359
Os1 0.308 0.500 0.445

***

# PBE LaSi2Os, relaxed
# Crystal system: tetragonal
# Formation energy (no corrections) in eV per atom: -0.261
# DFT total energy in eV/atom: -7.012
data_LaSi2Os
_cell_length_a 3.200
_cell_length_b 3.200
_cell_length_c 7.018
_cell_angle_alpha 90.00
_cell_angle_beta 90.00
_cell_angle_gamma 90.00
_symmetry_space_group_name_H-M 'P 4 m m'
_symmetry_Int_Tables_number 99
_symmetry_space_group_name_Hall 'P 4 -2'
loop_
_atom_site_label
_atom_site_fract_x
_atom_site_fract_y
_atom_site_fract_z
La1 0.000 0.000 0.000
Si1 0.000 0.000 0.488
Si2 0.500 0.500 0.688
Os1 0.500 0.500 0.335

***

# PBE LaSiOs, relaxed
# Crystal system: tetragonal
# Formation energy (no corrections) in eV per atom: -0.332
# DFT total energy in eV/atom: -7.525
data_LaSiOs
_cell_length_a 3.180
_cell_length_b 3.180
_cell_length_c 11.393
_cell_angle_alpha 90.00
_cell_angle_beta 90.00
_cell_angle_gamma 90.00
_symmetry_space_group_name_H-M 'I 4 m m'
_symmetry_Int_Tables_number 107
_symmetry_space_group_name_Hall 'I 4 -2'
loop_
_atom_site_label
_atom_site_fract_x
_atom_site_fract_y
_atom_site_fract_z
La1 0.000 0.000 0.000
Si1 0.000 0.000 0.709
Os1 0.000 0.000 0.303

***

# PBE LaSiOs, relaxed
# Crystal system: cubic
# Formation energy (no corrections) in eV per atom: 0.053
# DFT total energy in eV/atom: -7.140
data_LaSiOs
_cell_length_a 6.456
_cell_length_b 6.456
_cell_length_c 6.456
_cell_angle_alpha 90.00
_cell_angle_beta 90.00
_cell_angle_gamma 90.00
_symmetry_space_group_name_H-M 'F -4 3 m'
_symmetry_Int_Tables_number 216
_symmetry_space_group_name_Hall 'F -4 2 3'
loop_
_atom_site_label
_atom_site_fract_x
_atom_site_fract_y
_atom_site_fract_z
La1 0.000 0.000 0.000
Si1 0.000 0.000 0.500
Os1 0.250 0.250 0.250

***

# PBE LaSiOs, relaxed
# Crystal system: cubic
# Formation energy (no corrections) in eV per atom: 1.083
# DFT total energy in eV/atom: -6.110
data_LaSiOs
_cell_length_a 6.655
_cell_length_b 6.655
_cell_length_c 6.655
_cell_angle_alpha 90.00
_cell_angle_beta 90.00
_cell_angle_gamma 90.00
_symmetry_space_group_name_H-M 'F -4 3 m'
_symmetry_Int_Tables_number 216
_symmetry_space_group_name_Hall 'F -4 2 3'
loop_
_atom_site_label
_atom_site_fract_x
_atom_site_fract_y
_atom_site_fract_z
La1 0.000 0.000 0.000
Si1 0.250 0.250 0.250
Os1 0.250 0.250 0.750

***

# PBE LaSi3Os, relaxed
# Crystal system: cubic
# Formation energy (no corrections) in eV per atom: 0.067
# DFT total energy in eV/atom: -6.419
data_LaSi3Os
_cell_length_a 4.711
_cell_length_b 4.711
_cell_length_c 4.711
_cell_angle_alpha 90.00
_cell_angle_beta 90.00
_cell_angle_gamma 90.00
_symmetry_space_group_name_H-M 'P m -3 m'
_symmetry_Int_Tables_number 221
_symmetry_space_group_name_Hall '-P 4 2 3'
loop_
_atom_site_label
_atom_site_fract_x
_atom_site_fract_y
_atom_site_fract_z
La1 0.000 0.000 0.000
Si1 0.000 0.500 0.500
Os1 0.500 0.500 0.500

***

# PBE LaSi2Os, relaxed
# Crystal system: monoclinic
# Formation energy (no corrections) in eV per atom: -0.222
# DFT total energy in eV/atom: -6.973
data_LaSi2Os
_cell_length_a 3.318
_cell_length_b 4.250
_cell_length_c 5.658
_cell_angle_alpha 90.00
_cell_angle_beta 93.08
_cell_angle_gamma 90.00
_symmetry_space_group_name_H-M 'P 1 2/m 1'
_symmetry_Int_Tables_number 10
_symmetry_space_group_name_Hall '-P 2y'
loop_
_atom_site_label
_atom_site_fract_x
_atom_site_fract_y
_atom_site_fract_z
La1 0.000 0.000 0.000
Si1 0.451 0.500 0.709
Os1 0.500 0.000 0.500